A plane-wave DFT calculation with GGA-PBE was carried out for an optimized crystal structure of Tb2SmTmTe5.

Cell and atoms, written as POSCAR:
```
Tb2SmTmTe5
1.0
5.485 0.000 0.000
0.000 5.485 0.000
0.000 0.000 11.662
Tb Sm Tm Te
2 1 1 5
Cartesian
0.000 0.000 1.751
0.000 0.000 9.910
2.742 2.742 5.831
2.742 2.742 0.000
0.000 0.000 5.831
0.000 2.742 0.000
2.742 0.000 0.000
2.742 2.742 2.917
2.742 2.742 8.745
```

Calculated values
- Volume: 39.0 Å³/atom
- Uncorrected energy: -40.56 eV/cell

=====

A plane-wave DFT calculation with GGA-PBE was carried out for an optimized crystal structure of CePuBi.

Cell and atoms, written as POSCAR:
```
CePuBi
1.0
-2.104 2.104 10.765
2.104 -2.104 10.765
2.104 2.104 -10.765
Ce Pu Bi
2 2 2
Cartesian
0.000 0.000 1.478
0.000 0.000 20.053
0.000 0.000 4.384
0.000 0.000 17.146
0.000 0.000 7.764
0.000 0.000 13.766
```

Calculated values
- Volume: 31.8 Å³/atom
- Formation energy from the elements: -0.21 eV/atom
- E above lowest polymorph: 0.62 eV per formula unit

=====

A plane-wave DFT calculation with GGA-PBE was carried out for an optimized crystal structure of K2InCo.

Cell and atoms, written as POSCAR:
```
K2InCo
1.0
3.527 0.000 0.000
0.000 3.809 0.000
0.000 0.000 10.204
K In Co
2 1 1
Cartesian
0.000 0.000 0.000
1.763 1.904 4.089
1.763 1.904 7.391
0.000 0.000 6.974
```

Calculated values
- Volume: 34.3 Å³/atom
- Formation energy from the elements: 0.35 eV/atom

=====

A plane-wave DFT calculation with GGA-PBE was carried out for an optimized crystal structure of LiCdTe2I.

Cell and atoms, written as POSCAR:
```
LiCdTe2I
1.0
5.216 0.000 0.000
0.000 5.216 0.000
0.000 0.000 5.496
Li Cd Te I
1 1 2 1
Cartesian
0.000 0.000 0.000
2.608 2.608 2.748
0.000 2.608 0.000
2.608 0.000 0.000
0.000 0.000 2.748
```

Calculated values
- Volume: 29.9 Å³/atom
- E above lowest polymorph: 0.47 eV per formula unit

=====

A plane-wave DFT calculation with GGA-PBE was carried out for an optimized crystal structure of PaHPd.

Cell and atoms, written as POSCAR:
```
PaHPd
1.0
3.818 0.000 0.000
-1.909 3.307 0.000
0.000 0.000 3.924
Pa H Pd
1 1 1
Cartesian
0.000 0.000 0.000
0.000 2.204 0.019
1.909 1.102 1.966
```

Calculated values
- Volume: 16.5 Å³/atom
- E above lowest polymorph: 0.00 eV per formula unit

=====

A plane-wave DFT calculation with GGA-PBE was carried out for an optimized crystal structure of Sr2YCuO5.

Cell and atoms, written as POSCAR:
```
Sr2YCuO5
1.0
1.744 -6.635 0.000
1.744 6.635 0.000
0.000 0.000 11.348
Sr Y Cu O
4 2 2 10
Cartesian
1.744 5.417 5.674
1.744 4.678 1.423
1.744 -4.678 7.097
1.744 -5.417 0.000
1.744 3.911 9.542
1.744 -3.911 3.868
1.744 0.256 2.933
1.744 -0.256 8.607
1.744 6.097 9.662
1.744 2.985 5.344
1.744 2.180 2.401
1.744 1.655 9.082
1.744 0.213 6.729
1.744 -0.213 1.055
1.744 -1.655 3.408
1.744 -2.180 8.075
1.744 -2.985 11.018
1.744 -6.097 3.987
```

Calculated values
- Volume: 14.6 Å³/atom
- Uncorrected energy: -118.30 eV/cell

=====

A plane-wave DFT calculation with GGA-PBE was carried out for an optimized crystal structure of ScTa2Cd.

Cell and atoms, written as POSCAR:
```
ScTa2Cd
1.0
-3.916 3.916 2.766
3.916 -3.916 2.766
3.916 3.916 -2.766
Sc Ta Cd
2 4 2
Cartesian
0.000 0.000 0.000
0.000 3.916 1.383
1.958 -1.851 2.074
2.064 1.958 0.691
1.958 5.767 -0.691
1.851 1.958 3.457
3.916 0.000 1.383
0.000 0.000 2.766
```

Calculated values
- Volume: 21.2 Å³/atom
- Formation energy from the elements: 0.82 eV/atom

=====

A plane-wave DFT calculation with GGA-PBE was carried out for an optimized crystal structure of HPtN3.

Cell and atoms, written as POSCAR:
```
HPtN3
1.0
3.389 0.000 0.000
0.000 3.389 0.000
0.000 0.000 3.389
H Pt N
1 1 3
Cartesian
0.000 0.000 0.000
1.694 1.694 1.694
0.000 0.000 1.694
0.000 1.694 0.000
1.694 0.000 0.000
```

Calculated values
- Volume: 7.8 Å³/atom
- Uncorrected energy: -21.78 eV/cell

=====

no.,density of states at the Fermi level (states/eV/f.u.),M_tot (μB/f.u.)
1,4.5,0.56
2,9.6,8.09
3,3.8,1.03
4,5.9,0.00
5,3.0,0.00
6,2.6,0.00
7,3.8,0.00
8,2.0,0.00